(1)
{
  "formula": "CsTi2MnS",
  "functional": "GGA-PBE",
  "state": "optimized geometry",
  "dos_ef_per_ev_fu": 4.775,
  "energy_ev_per_atom": -5.136,
  "lattice_angstrom": [[4.5793, 0.0000, 0.0000], [0.0000, 4.5793, 0.0000], [0.0000, 0.0000, 5.5811]],
  "species": ["Cs", "Ti", "Ti", "Mn", "S"],
  "frac_coords": [[0.0000, 0.0000, 0.0000], [0.0000, 0.5000, 0.5000], [0.5000, 0.0000, 0.5000], [0.0000, 0.0000, 0.5000], [0.5000, 0.5000, 0.0000]]
}

=====

(2)
{
  "formula": "CsMnTlS2",
  "functional": "GGA-PBE",
  "state": "optimized geometry",
  "energy_ev_per_atom": -4.839,
  "lattice_angstrom": [[8.8296, -2.0815, 0.0000], [8.8296, 2.0815, 0.0000], [-5.7466, 0.0000, 9.1626]],
  "species": ["Cs", "Cs", "Mn", "Mn", "Tl", "Tl", "S", "S", "S", "S"],
  "frac_coords": [[0.2182, 0.2182, 0.2627], [0.7818, 0.7818, 0.7373], [0.0592, 0.0592, 0.4362], [0.9408, 0.9408, 0.5638], [0.4156, 0.4156, 0.1420], [0.5844, 0.5844, 0.8580], [0.1055, 0.1055, 0.6929], [0.3980, 0.3980, 0.6298], [0.6020, 0.6020, 0.3702], [0.8945, 0.8945, 0.3071]]
}

=====

(3)
{
  "formula": "CsTmMn2S4",
  "functional": "GGA-PBE",
  "state": "optimized geometry",
  "energy_ev_per_atom": -5.753,
  "lattice_angstrom": [[6.5611, 0.0000, 0.0000], [0.0000, 8.4135, 0.0000], [0.0000, 0.0000, 9.1850]],
  "species": ["Cs", "Cs", "Tm", "Tm", "Mn", "Mn", "Mn", "Mn", "S", "S", "S", "S", "S", "S", "S", "S"],
  "frac_coords": [[0.0000, 0.0000, 0.0000], [0.5000, 0.5000, 0.5000], [0.0000, 0.0000, 0.5000], [0.5000, 0.5000, 0.0000], [0.0000, 0.5000, 0.1055], [0.0000, 0.5000, 0.8945], [0.5000, 0.0000, 0.3945], [0.5000, 0.0000, 0.6055], [0.2474, 0.1537, 0.3302], [0.2474, 0.8463, 0.6698], [0.2526, 0.3463, 0.8302], [0.2526, 0.6537, 0.1698], [0.7474, 0.3463, 0.1698], [0.7474, 0.6537, 0.8302], [0.7526, 0.1537, 0.6698], [0.7526, 0.8463, 0.3302]]
}

=====

(4)
{
  "formula": "Cs3Tm2MnS6",
  "functional": "GGA-PBE",
  "state": "optimized geometry",
  "energy_ev_per_atom": -5.207,
  "lattice_angstrom": [[3.5223, -5.8427, 0.0000], [3.5223, 5.8427, 0.0000], [-2.4803, 0.0000, 7.9838]],
  "species": ["Cs", "Cs", "Cs", "Tm", "Tm", "Mn", "S", "S", "S", "S", "S", "S"],
  "frac_coords": [[0.0000, 0.0000, 0.0000], [0.3282, 0.6718, 0.0000], [0.6718, 0.3282, 0.0000], [0.1631, 0.8369, 0.5000], [0.8369, 0.1631, 0.5000], [0.5000, 0.5000, 0.5000], [0.1393, 0.4443, 0.3343], [0.2231, 0.2231, 0.6927], [0.4443, 0.1393, 0.3343], [0.5557, 0.8607, 0.6657], [0.7769, 0.7769, 0.3073], [0.8607, 0.5557, 0.6657]]
}

=====

(5)
{
  "formula": "CsTmMnS3",
  "functional": "GGA-PBE",
  "state": "optimized geometry",
  "energy_ev_per_atom": -5.900,
  "lattice_angstrom": [[9.2880, 0.0000, 0.0000], [0.0000, 4.0741, 0.0000], [-3.6873, 0.0000, 9.2293]],
  "species": ["Cs", "Cs", "Tm", "Tm", "Mn", "Mn", "S", "S", "S", "S", "S", "S"],
  "frac_coords": [[0.2195, 0.2500, 0.2435], [0.7805, 0.7500, 0.7565], [0.3349, 0.7500, 0.8639], [0.6651, 0.2500, 0.1361], [0.0864, 0.2500, 0.6143], [0.9136, 0.7500, 0.3857], [0.1321, 0.2500, 0.8602], [0.1922, 0.7500, 0.5515], [0.4783, 0.7500, 0.1497], [0.5217, 0.2500, 0.8503], [0.8078, 0.2500, 0.4485], [0.8679, 0.7500, 0.1398]]
}

=====

(6)
{
  "formula": "Cs3U3MnS8",
  "functional": "GGA-PBE",
  "state": "optimized geometry",
  "dos_ef_per_ev_fu": 18.880,
  "energy_ev_per_atom": -6.479,
  "lattice_angstrom": [[6.9418, -4.0031, 0.0000], [6.9418, 4.0031, 0.0000], [-4.6199, 0.0000, 8.1983]],
  "species": ["Cs", "Cs", "Cs", "U", "U", "U", "Mn", "S", "S", "S", "S", "S", "S", "S", "S"],
  "frac_coords": [[0.0000, 0.0000, 0.0000], [0.0000, 0.5000, 0.0000], [0.5000, 0.0000, 0.0000], [0.0000, 0.5000, 0.5000], [0.5000, 0.0000, 0.5000], [0.5000, 0.5000, 0.5000], [0.0000, 0.0000, 0.5000], [0.2218, 0.2218, 0.6724], [0.2233, 0.7286, 0.6737], [0.2714, 0.7767, 0.3263], [0.2718, 0.2718, 0.3168], [0.7282, 0.7282, 0.6832], [0.7286, 0.2233, 0.6737], [0.7767, 0.2714, 0.3263], [0.7782, 0.7782, 0.3276]]
}

=====

(7)
{
  "formula": "Cs2UMnS5",
  "functional": "GGA-PBE",
  "state": "optimized geometry",
  "dos_ef_per_ev_fu": 6.140,
  "energy_ev_per_atom": -5.855,
  "lattice_angstrom": [[2.0366, -10.0609, 0.0000], [2.0366, 10.0609, 0.0000], [0.0000, 0.0000, 14.6079]],
  "species": ["Cs", "Cs", "Cs", "Cs", "U", "U", "Mn", "Mn", "S", "S", "S", "S", "S", "S", "S", "S", "S", "S"],
  "frac_coords": [[0.1219, 0.8781, 0.5000], [0.1262, 0.8738, 0.1358], [0.8738, 0.1262, 0.6358], [0.8781, 0.1219, 0.0000], [0.2003, 0.7997, 0.8314], [0.7997, 0.2003, 0.3314], [0.4255, 0.5745, 0.2446], [0.5745, 0.4255, 0.7446], [0.0683, 0.9317, 0.8256], [0.3017, 0.6983, 0.4466], [0.3099, 0.6901, 0.2098], [0.3213, 0.6787, 0.8196], [0.4869, 0.5131, 0.1241], [0.5131, 0.4869, 0.6241], [0.6787, 0.3213, 0.3196], [0.6901, 0.3099, 0.7098], [0.6983, 0.3017, 0.9466], [0.9317, 0.0683, 0.3256]]
}

=====

(8)
{
  "formula": "CsUMn2S6",
  "functional": "GGA-PBE",
  "state": "optimized geometry",
  "dos_ef_per_ev_fu": 3.868,
  "energy_ev_per_atom": -6.379,
  "lattice_angstrom": [[6.1030, -6.4317, 0.0000], [6.1030, 6.4317, 0.0000], [-2.4609, 0.0000, 7.4514]],
  "species": ["Cs", "Cs", "U", "U", "Mn", "Mn", "Mn", "Mn", "S", "S", "S", "S", "S", "S", "S", "S", "S", "S", "S", "S"],
  "frac_coords": [[0.0863, 0.9137, 0.7500], [0.9137, 0.0863, 0.2500], [0.3024, 0.6976, 0.2500], [0.6976, 0.3024, 0.7500], [0.2307, 0.3779, 0.8864], [0.3779, 0.2307, 0.3864], [0.6221, 0.7693, 0.6136], [0.7693, 0.6221, 0.1136], [0.0157, 0.7087, 0.2675], [0.2635, 0.3859, 0.1927], [0.2738, 0.6327, 0.9156], [0.2913, 0.9843, 0.2325], [0.3673, 0.7262, 0.5844], [0.3859, 0.2635, 0.6927], [0.6141, 0.7365, 0.3073], [0.6327, 0.2738, 0.4156], [0.7087, 0.0157, 0.7675], [0.7262, 0.3673, 0.0844], [0.7365, 0.6141, 0.8073], [0.9843, 0.2913, 0.7325]]
}

=====

(9)
{
  "formula": "CsUMnS4",
  "functional": "GGA-PBE",
  "state": "optimized geometry",
  "dos_ef_per_ev_fu": 5.594,
  "energy_ev_per_atom": -6.529,
  "lattice_angstrom": [[6.4729, 0.0000, 0.0000], [0.0000, 6.5108, 0.0000], [-3.1445, 0.0000, 9.0400]],
  "species": ["Cs", "Cs", "U", "U", "Mn", "Mn", "S", "S", "S", "S", "S", "S", "S", "S"],
  "frac_coords": [[0.2404, 0.2500, 0.4445], [0.7596, 0.7500, 0.5555], [0.2731, 0.2500, 0.9524], [0.7269, 0.7500, 0.0476], [0.2735, 0.7500, 0.1568], [0.7265, 0.2500, 0.8432], [0.0423, 0.7500, 0.9238], [0.0589, 0.7500, 0.3012], [0.4791, 0.5089, 0.8142], [0.4791, 0.9911, 0.8142], [0.5209, 0.0089, 0.1858], [0.5209, 0.4911, 0.1858], [0.9411, 0.2500, 0.6988], [0.9577, 0.2500, 0.0762]]
}

=====

(10)
{
  "formula": "CsUMn2S4",
  "functional": "GGA-PBE",
  "state": "optimized geometry",
  "dos_ef_per_ev_fu": 5.252,
  "energy_ev_per_atom": -6.409,
  "lattice_angstrom": [[5.5505, 0.0000, 0.0000], [0.0000, 9.0465, 0.0000], [0.0000, 0.0000, 9.8470]],
  "species": ["Cs", "Cs", "U", "U", "Mn", "Mn", "Mn", "Mn", "S", "S", "S", "S", "S", "S", "S", "S"],
  "frac_coords": [[0.0000, 0.0000, 0.0000], [0.5000, 0.5000, 0.5000], [0.0000, 0.0000, 0.5000], [0.5000, 0.5000, 0.0000], [0.0000, 0.5000, 0.0977], [0.0000, 0.5000, 0.9023], [0.5000, 0.0000, 0.4023], [0.5000, 0.0000, 0.5977], [0.2414, 0.1644, 0.3306], [0.2414, 0.8356, 0.6694], [0.2586, 0.3356, 0.8306], [0.2586, 0.6644, 0.1694], [0.7414, 0.3356, 0.1694], [0.7414, 0.6644, 0.8306], [0.7586, 0.1644, 0.6694], [0.7586, 0.8356, 0.3306]]
}

=====

(11)
{
  "formula": "Cs2UMn2S6",
  "functional": "GGA-PBE",
  "state": "optimized geometry",
  "dos_ef_per_ev_fu": 6.027,
  "energy_ev_per_atom": -6.003,
  "lattice_angstrom": [[3.6235, 2.0920, 6.3650], [-3.6235, 2.0920, 6.3650], [0.0000, -4.1840, 6.3650]],
  "species": ["Cs", "Cs", "U", "Mn", "Mn", "S", "S", "S", "S", "S", "S"],
  "frac_coords": [[0.2391, 0.2391, 0.2391], [0.7609, 0.7609, 0.7609], [0.0000, 0.0000, 0.0000], [0.4470, 0.4470, 0.4470], [0.5530, 0.5530, 0.5530], [0.2477, 0.2477, 0.7431], [0.2477, 0.7431, 0.2477], [0.2569, 0.7523, 0.7523], [0.7431, 0.2477, 0.2477], [0.7523, 0.2569, 0.7523], [0.7523, 0.7523, 0.2569]]
}

=====

(12)
{
  "formula": "Cs2UMn2S4",
  "functional": "GGA-PBE",
  "state": "optimized geometry",
  "dos_ef_per_ev_fu": 6.213,
  "energy_ev_per_atom": -6.326,
  "lattice_angstrom": [[7.3975, -2.0120, 0.0000], [7.3975, 2.0120, 0.0000], [-2.4554, 0.0000, 7.8603]],
  "species": ["Cs", "Cs", "U", "Mn", "Mn", "S", "S", "S", "S"],
  "frac_coords": [[0.1371, 0.1371, 0.0552], [0.8629, 0.8629, 0.9448], [0.0000, 0.0000, 0.5000], [0.3272, 0.3272, 0.5237], [0.6728, 0.6728, 0.4763], [0.1947, 0.1947, 0.6468], [0.4798, 0.4798, 0.7194], [0.5202, 0.5202, 0.2806], [0.8053, 0.8053, 0.3532]]
}

=====

(13)
{
  "formula": "Cs3UMn2S6",
  "functional": "GGA-PBE",
  "state": "optimized geometry",
  "dos_ef_per_ev_fu": 0.551,
  "energy_ev_per_atom": -5.747,
  "lattice_angstrom": [[7.5382, 0.0000, 0.0000], [-3.7691, 6.5283, 0.0000], [0.0000, 0.0000, 8.9571]],
  "species": ["Cs", "Cs", "Cs", "U", "Mn", "Mn", "S", "S", "S", "S", "S", "S"],
  "frac_coords": [[0.0000, 0.0000, 0.0000], [0.3333, 0.6667, 0.6891], [0.6667, 0.3333, 0.3109], [0.0000, 0.0000, 0.5000], [0.3333, 0.6667, 0.2986], [0.6667, 0.3333, 0.7014], [0.1601, 0.3203, 0.3195], [0.1601, 0.8399, 0.3195], [0.3203, 0.1601, 0.6805], [0.6797, 0.8399, 0.3195], [0.8399, 0.1601, 0.6805], [0.8399, 0.6797, 0.6805]]
}

=====

(14)
{
  "formula": "CsUMnS3",
  "functional": "GGA-PBE",
  "state": "optimized geometry",
  "dos_ef_per_ev_fu": 6.426,
  "energy_ev_per_atom": -6.756,
  "lattice_angstrom": [[9.4356, 0.0000, 0.0000], [0.0000, 4.0503, 0.0000], [-3.5876, 0.0000, 9.0581]],
  "species": ["Cs", "Cs", "U", "U", "Mn", "Mn", "S", "S", "S", "S", "S", "S"],
  "frac_coords": [[0.2118, 0.2500, 0.2465], [0.7882, 0.7500, 0.7535], [0.3312, 0.7500, 0.8494], [0.6688, 0.2500, 0.1506], [0.0781, 0.2500, 0.6029], [0.9219, 0.7500, 0.3971], [0.1361, 0.2500, 0.8587], [0.1855, 0.7500, 0.5500], [0.4719, 0.7500, 0.1501], [0.5281, 0.2500, 0.8499], [0.8145, 0.2500, 0.4500], [0.8639, 0.7500, 0.1413]]
}

=====

(15)
{
  "formula": "CsMnV2S8",
  "functional": "GGA-PBE",
  "state": "optimized geometry",
  "dos_ef_per_ev_fu": 9.937,
  "energy_ev_per_atom": -5.642,
  "lattice_angstrom": [[3.0746, 1.7751, 9.4076], [-3.0746, 1.7751, 9.4076], [0.0000, -3.5503, 9.4076]],
  "species": ["Cs", "Mn", "V", "V", "S", "S", "S", "S", "S", "S", "S", "S"],
  "frac_coords": [[0.0000, 0.0000, 0.0000], [0.5000, 0.5000, 0.5000], [0.2359, 0.2359, 0.2359], [0.7641, 0.7641, 0.7641], [0.1385, 0.7599, 0.4565], [0.2401, 0.5435, 0.8615], [0.3105, 0.3105, 0.3105], [0.4565, 0.1385, 0.7599], [0.5435, 0.8615, 0.2401], [0.6895, 0.6895, 0.6895], [0.7599, 0.4565, 0.1385], [0.8615, 0.2401, 0.5435]]
}

=====

(16)
{
  "formula": "Cs3Y2MnS6",
  "functional": "GGA-PBE",
  "state": "optimized geometry",
  "energy_ev_per_atom": -5.542,
  "lattice_angstrom": [[3.5612, -5.9019, 0.0000], [3.5612, 5.9019, 0.0000], [-2.5153, 0.0000, 7.9975]],
  "species": ["Cs", "Cs", "Cs", "Y", "Y", "Mn", "S", "S", "S", "S", "S", "S"],
  "frac_coords": [[0.0000, 0.0000, 0.0000], [0.3277, 0.6723, 0.0000], [0.6723, 0.3277, 0.0000], [0.1631, 0.8369, 0.5000], [0.8369, 0.1631, 0.5000], [0.5000, 0.5000, 0.5000], [0.1429, 0.4438, 0.3335], [0.2253, 0.2253, 0.6958], [0.4438, 0.1429, 0.3335], [0.5562, 0.8571, 0.6665], [0.7747, 0.7747, 0.3042], [0.8571, 0.5562, 0.6665]]
}

=====

(17)
{
  "formula": "Cs2Y2MnS6",
  "functional": "GGA-PBE",
  "state": "optimized geometry",
  "energy_ev_per_atom": -5.841,
  "lattice_angstrom": [[3.3735, -5.7628, 0.0000], [3.3735, 5.7628, 0.0000], [-2.4118, 0.0000, 8.1921]],
  "species": ["Cs", "Cs", "Y", "Y", "Mn", "S", "S", "S", "S", "S", "S"],
  "frac_coords": [[0.1720, 0.8280, 0.0000], [0.8280, 0.1720, 0.0000], [0.3326, 0.6674, 0.5000], [0.6674, 0.3326, 0.5000], [0.0000, 0.0000, 0.5000], [0.0633, 0.3603, 0.6722], [0.2351, 0.2351, 0.3311], [0.3603, 0.0633, 0.6722], [0.6397, 0.9367, 0.3278], [0.7649, 0.7649, 0.6689], [0.9367, 0.6397, 0.3278]]
}

=====

(18)
{
  "formula": "Cs2MnZnS4",
  "functional": "GGA-PBE",
  "state": "optimized geometry",
  "dos_ef_per_ev_fu": 3.380,
  "energy_ev_per_atom": -4.456,
  "lattice_angstrom": [[0.0000, 6.9051, 12.3765], [2.9636, 0.0000, 12.3765], [2.9636, 6.9051, 0.0000]],
  "species": ["Cs", "Cs", "Cs", "Cs", "Mn", "Mn", "Zn", "Zn", "S", "S", "S", "S", "S", "S", "S", "S"],
  "frac_coords": [[0.0519, 0.0519, 0.6981], [0.3019, 0.3019, 0.9481], [0.6981, 0.6981, 0.0519], [0.9481, 0.9481, 0.3019], [0.3750, 0.3750, 0.3750], [0.6250, 0.6250, 0.6250], [0.1250, 0.1250, 0.1250], [0.8750, 0.8750, 0.8750], [0.0025, 0.6519, 0.5661], [0.2795, 0.5661, 0.6519], [0.3481, 0.9975, 0.7205], [0.4339, 0.7205, 0.9975], [0.5661, 0.2795, 0.0025], [0.6519, 0.0025, 0.2795], [0.7205, 0.4339, 0.3481], [0.9975, 0.3481, 0.4339]]
}

=====

(19)
{
  "formula": "Cs3Zr3MnS8",
  "functional": "GGA-PBE",
  "state": "optimized geometry",
  "dos_ef_per_ev_fu": 4.702,
  "energy_ev_per_atom": -6.043,
  "lattice_angstrom": [[6.5753, -3.7912, 0.0000], [6.5753, 3.7912, 0.0000], [-4.3882, 0.0000, 8.1623]],
  "species": ["Cs", "Cs", "Cs", "Zr", "Zr", "Zr", "Mn", "S", "S", "S", "S", "S", "S", "S", "S"],
  "frac_coords": [[0.0000, 0.0000, 0.0000], [0.0000, 0.5000, 0.0000], [0.5000, 0.0000, 0.0000], [0.0000, 0.5000, 0.5000], [0.5000, 0.0000, 0.5000], [0.5000, 0.5000, 0.5000], [0.0000, 0.0000, 0.5000], [0.2269, 0.2269, 0.6742], [0.2267, 0.7206, 0.6739], [0.2734, 0.2734, 0.3199], [0.2794, 0.7733, 0.3261], [0.7206, 0.2267, 0.6739], [0.7266, 0.7266, 0.6801], [0.7733, 0.2794, 0.3261], [0.7731, 0.7731, 0.3258]]
}

=====

(20)
{
  "formula": "Cs2ZrMnS4",
  "functional": "GGA-PBE",
  "state": "optimized geometry",
  "energy_ev_per_atom": -5.744,
  "lattice_angstrom": [[0.0000, 7.2438, 12.7853], [3.0488, 0.0000, 12.7853], [3.0488, 7.2438, 0.0000]],
  "species": ["Cs", "Cs", "Cs", "Cs", "Zr", "Zr", "Mn", "Mn", "S", "S", "S", "S", "S", "S", "S", "S"],
  "frac_coords": [[0.0521, 0.0521, 0.6979], [0.3021, 0.3021, 0.9479], [0.6979, 0.6979, 0.0521], [0.9479, 0.9479, 0.3021], [0.1250, 0.1250, 0.1250], [0.8750, 0.8750, 0.8750], [0.3750, 0.3750, 0.3750], [0.6250, 0.6250, 0.6250], [0.0174, 0.3341, 0.4189], [0.2705, 0.5811, 0.6659], [0.3341, 0.0174, 0.7295], [0.4189, 0.7295, 0.0174], [0.5811, 0.2705, 0.9826], [0.6659, 0.9826, 0.2705], [0.7295, 0.4189, 0.3341], [0.9826, 0.6659, 0.5811]]
}

=====

Number 1: ΔE_f (raw) 852 meV per atom. Number 2: ΔE_f (raw) -710 meV per atom. Number 3: ΔE_f (raw) -731 meV per atom. Number 4: ΔE_f (raw) -1421 meV per atom. Number 5: ΔE_f (raw) -1421 meV per atom. Number 6: ΔE_f (raw) -1238 meV per atom. Number 7: ΔE_f (raw) -1099 meV per atom. Number 8: ΔE_f (raw) -855 meV per atom. Number 9: ΔE_f (raw) -1126 meV per atom. Number 10: ΔE_f (raw) -535 meV per atom. Number 11: ΔE_f (raw) -903 meV per atom. Number 12: ΔE_f (raw) -1010 meV per atom. Number 13: ΔE_f (raw) -1001 meV per atom. Number 14: ΔE_f (raw) -1141 meV per atom. Number 15: ΔE_f (raw) -536 meV per atom. Number 16: ΔE_f (raw) -1423 meV per atom. Number 17: ΔE_f (raw) -1425 meV per atom. Number 18: ΔE_f (raw) -873 meV per atom. Number 19: ΔE_f (raw) -1350 meV per atom. Number 20: ΔE_f (raw) -1252 meV per atom.